Density functional theory data (PBE) for Fe3Ni2C after structural relaxation.

Calculated values
- E_tot: -7.66 eV per atom
- SG: P4_132 (213)

abc: 6.2452 6.2452 6.2452
angles: 90.00 90.00 90.00
Atoms (fractional coordinates):
1 Fe 0.0511 0.1250 0.8011
2 Fe 0.1250 0.8011 0.0511
3 Fe 0.1989 0.5511 0.3750
4 Fe 0.3011 0.4489 0.8750
5 Fe 0.3750 0.1989 0.5511
6 Fe 0.4489 0.8750 0.3011
7 Fe 0.5511 0.3750 0.1989
8 Fe 0.6250 0.6989 0.9489
9 Fe 0.6989 0.9489 0.6250
10 Fe 0.8011 0.0511 0.1250
11 Fe 0.8750 0.3011 0.4489
12 Fe 0.9489 0.6250 0.6989
13 Ni 0.0628 0.9372 0.4372
14 Ni 0.1872 0.1872 0.1872
15 Ni 0.3128 0.8128 0.6872
16 Ni 0.4372 0.0628 0.9372
17 Ni 0.5628 0.5628 0.5628
18 Ni 0.6872 0.3128 0.8128
19 Ni 0.8128 0.6872 0.3128
20 Ni 0.9372 0.4372 0.0628
21 C 0.1250 0.3750 0.6250
22 C 0.3750 0.6250 0.1250
23 C 0.6250 0.1250 0.3750
24 C 0.8750 0.8750 0.8750

=====

Density functional theory data (PBE) for FeNiC after structural relaxation.

Calculated values
- E_tot: -7.57 eV per atom
- SG: R3m (160)

abc: 2.9233 2.9233 11.4713
angles: 90.00 90.00 120.00
Atoms (fractional coordinates):
1 Fe 0.0000 0.0000 0.0000
2 Fe 0.3333 0.6667 0.6667
3 Fe 0.6667 0.3333 0.3333
4 Ni 0.0000 0.0000 0.4961
5 Ni 0.3333 0.6667 0.1628
6 Ni 0.6667 0.3333 0.8295
7 C 0.0000 0.0000 0.7361
8 C 0.3333 0.6667 0.4028
9 C 0.6667 0.3333 0.0694

=====

Density functional theory data (PBE) for FeNiC3 after structural relaxation.

Calculated values
- E_tot: -6.40 eV per atom
- SG: Pm-3m (221)

abc: 3.6770 3.6770 3.6770
angles: 90.00 90.00 90.00
Atoms (fractional coordinates):
1 Fe 0.0000 0.0000 0.0000
2 Ni 0.5000 0.5000 0.5000
3 C 0.0000 0.0000 0.5000
4 C 0.0000 0.5000 0.0000
5 C 0.5000 0.0000 0.0000

=====

Density functional theory data (PBE) for FeNiC after structural relaxation.

Calculated values
- E_tot: -7.70 eV per atom
- SG: Pmn2_1 (31)

abc: 3.0530 4.7169 3.7413
angles: 90.00 90.00 90.00
Atoms (fractional coordinates):
1 Fe 0.0000 0.0565 0.0000
2 Fe 0.5000 0.9435 0.5000
3 Ni 0.0000 0.5616 0.1942
4 Ni 0.5000 0.4384 0.6942
5 C 0.0000 0.1997 0.4998
6 C 0.5000 0.8003 0.9998

=====

Density functional theory data (PBE) for FeNiC after structural relaxation.

Calculated values
- E_tot: -7.55 eV per atom
- SG: Cmc2_1 (36)

abc: 2.5919 9.5339 4.4141
angles: 90.00 90.00 90.00
Atoms (fractional coordinates):
1 Fe 0.0000 0.0580 0.0000
2 Fe 0.0000 0.9420 0.5000
3 Fe 0.5000 0.4420 0.5000
4 Fe 0.5000 0.5580 0.0000
5 Ni 0.0000 0.2071 0.5150
6 Ni 0.0000 0.7929 0.0150
7 Ni 0.5000 0.2929 0.0150
8 Ni 0.5000 0.7071 0.5150
9 C 0.0000 0.4217 0.1784
10 C 0.0000 0.5783 0.6784
11 C 0.5000 0.0783 0.6784
12 C 0.5000 0.9217 0.1784

=====

Density functional theory data (PBE) for FeNiC after structural relaxation.

Calculated values
- E_tot: -7.69 eV per atom
- SG: C222_1 (20)

abc: 3.4761 9.0992 3.5734
angles: 90.00 90.00 90.00
Atoms (fractional coordinates):
1 Fe 0.0000 0.2496 0.2500
2 Fe 0.0000 0.7504 0.7500
3 Fe 0.5000 0.2504 0.7500
4 Fe 0.5000 0.7496 0.2500
5 Ni 0.2500 0.0000 0.5000
6 Ni 0.2500 0.5000 0.0000
7 Ni 0.7500 0.0000 0.0000
8 Ni 0.7500 0.5000 0.5000
9 C 0.0000 0.1614 0.7500
10 C 0.0000 0.8386 0.2500
11 C 0.5000 0.3386 0.2500
12 C 0.5000 0.6614 0.7500

=====

Density functional theory data (PBE) for Fe3NiC after structural relaxation.

Calculated values
- E_tot: -7.96 eV per atom
- SG: Pm-3m (221)

abc: 3.7449 3.7449 3.7449
angles: 90.00 90.00 90.00
Atoms (fractional coordinates):
1 Fe 0.0000 0.0000 0.5000
2 Fe 0.0000 0.5000 0.0000
3 Fe 0.5000 0.0000 0.0000
4 Ni 0.5000 0.5000 0.5000
5 C 0.0000 0.0000 0.0000

=====

Density functional theory data (PBE) for FeNiC after structural relaxation.

Calculated values
- E_tot: -7.64 eV per atom
- SG: Cm (8)

abc: 9.5508 2.7676 4.2771
angles: 90.00 100.27 90.00
Atoms (fractional coordinates):
1 Fe 0.0000 0.0000 0.0000
2 Fe 0.1597 0.0000 0.5729
3 Fe 0.5000 0.5000 0.0000
4 Fe 0.6597 0.5000 0.5729
5 Ni 0.2386 0.5000 0.0838
6 Ni 0.4128 0.0000 0.4927
7 Ni 0.7386 0.0000 0.0838
8 Ni 0.9128 0.5000 0.4927
9 C 0.0716 0.5000 0.2777
10 C 0.3186 0.5000 0.7042
11 C 0.5716 0.0000 0.2777
12 C 0.8186 0.0000 0.7042

=====

Density functional theory data (PBE) for Fe3NiC after structural relaxation.

Calculated values
- E_tot: -6.02 eV per atom
- SG: Pm-3m (221)

abc: 4.2838 4.2838 4.2838
angles: 90.00 90.00 90.00
Atoms (fractional coordinates):
1 Fe 0.0000 0.0000 0.5000
2 Fe 0.0000 0.5000 0.0000
3 Fe 0.5000 0.0000 0.0000
4 Ni 0.0000 0.0000 0.0000
5 C 0.5000 0.5000 0.5000

=====

Density functional theory data (PBE) for Fe2NiPdC after structural relaxation.

Calculated values
- E_tot: -7.33 eV per atom
- SG: P4/mmm (123)

abc: 3.8986 3.8986 3.7796
angles: 90.00 90.00 90.00
Atoms (fractional coordinates):
1 Fe 0.0000 0.5000 0.0000
2 Fe 0.5000 0.0000 0.0000
3 Ni 0.0000 0.0000 0.5000
4 Pd 0.5000 0.5000 0.5000
5 C 0.0000 0.0000 0.0000

=====

Density functional theory data (PBE) for Fe2NiPtC after structural relaxation.

Calculated values
- E_tot: -7.54 eV per atom
- SG: P4/mmm (123)

abc: 3.8880 3.8880 3.8007
angles: 90.00 90.00 90.00
Atoms (fractional coordinates):
1 Fe 0.0000 0.5000 0.0000
2 Fe 0.5000 0.0000 0.0000
3 Ni 0.0000 0.0000 0.5000
4 Pt 0.5000 0.5000 0.5000
5 C 0.0000 0.0000 0.0000

=====

Density functional theory data (PBE) for Fe2NiRhC after structural relaxation.

Calculated values
- E_tot: -7.72 eV per atom
- SG: P4/mmm (123)

abc: 3.8751 3.8751 3.7679
angles: 90.00 90.00 90.00
Atoms (fractional coordinates):
1 Fe 0.0000 0.5000 0.0000
2 Fe 0.5000 0.0000 0.0000
3 Ni 0.0000 0.0000 0.5000
4 Rh 0.5000 0.5000 0.5000
5 C 0.0000 0.0000 0.0000

=====

Density functional theory data (PBE) for FeNi2RhC after structural relaxation.

Calculated values
- E_tot: -7.13 eV per atom
- SG: P4/mmm (123)

abc: 3.7657 3.7657 3.9136
angles: 90.00 90.00 90.00
Atoms (fractional coordinates):
1 Fe 0.0000 0.0000 0.0000
2 Ni 0.0000 0.5000 0.5000
3 Ni 0.5000 0.0000 0.5000
4 Rh 0.5000 0.5000 0.0000
5 C 0.0000 0.0000 0.5000

=====

Density functional theory data (PBE) for Fe2NiRuC after structural relaxation.

Calculated values
- E_tot: -8.04 eV per atom
- SG: P4/mmm (123)

abc: 3.8106 3.8106 3.9496
angles: 90.00 90.00 90.00
Atoms (fractional coordinates):
1 Fe 0.0000 0.5000 0.0000
2 Fe 0.5000 0.0000 0.0000
3 Ni 0.0000 0.0000 0.5000
4 Ru 0.5000 0.5000 0.5000
5 C 0.5000 0.5000 0.0000

=====

Density functional theory data (PBE) for YFeNiSbC after structural relaxation.

Calculated values
- E_tot: -7.04 eV per atom
- SG: Amm2 (38)

abc: 3.8587 3.2591 12.6885
angles: 90.00 90.00 90.00
Atoms (fractional coordinates):
1 Y 0.0000 0.0000 0.0000
2 Y 0.0000 0.5000 0.5000
3 Fe 0.0000 0.0000 0.2223
4 Fe 0.0000 0.5000 0.7223
5 Ni 0.5000 0.0000 0.6663
6 Ni 0.5000 0.5000 0.1663
7 Sb 0.5000 0.0000 0.3494
8 Sb 0.5000 0.5000 0.8494
9 C 0.0000 0.0000 0.6463
10 C 0.0000 0.5000 0.1463

=====

Density functional theory data (PBE) for YFeNiSbC after structural relaxation.

Calculated values
- E_tot: -7.01 eV per atom
- SG: Imm2 (44)

abc: 3.4506 3.6506 12.4725
angles: 90.00 90.00 90.00
Atoms (fractional coordinates):
1 Y 0.0000 0.0000 0.0000
2 Y 0.5000 0.5000 0.5000
3 Fe 0.0000 0.5000 0.1854
4 Fe 0.5000 0.0000 0.6854
5 Ni 0.0000 0.5000 0.6771
6 Ni 0.5000 0.0000 0.1771
7 Sb 0.0000 0.0000 0.3342
8 Sb 0.5000 0.5000 0.8342
9 C 0.0000 0.0000 0.6204
10 C 0.5000 0.5000 0.1204

=====

Density functional theory data (PBE) for YFeNiSbC after structural relaxation.

Calculated values
- E_tot: -6.81 eV per atom
- SG: Cm (8)

abc: 8.0967 3.2102 7.0862
angles: 90.00 118.24 90.00
Atoms (fractional coordinates):
1 Y 0.0000 0.0000 0.0000
2 Y 0.5000 0.5000 0.0000
3 Fe 0.1508 0.0000 0.7139
4 Fe 0.6508 0.5000 0.7139
5 Ni 0.2782 0.5000 0.5036
6 Ni 0.7782 0.0000 0.5036
7 Sb 0.4378 0.0000 0.3729
8 Sb 0.9378 0.5000 0.3729
9 C 0.1291 0.5000 0.8313
10 C 0.6291 0.0000 0.8313

=====

Density functional theory data (PBE) for FeNiC2Se after structural relaxation.

Calculated values
- E_tot: -6.04 eV per atom
- SG: P4/mmm (123)

abc: 3.5410 3.5410 5.1994
angles: 90.00 90.00 90.00
Atoms (fractional coordinates):
1 Fe 0.0000 0.0000 0.0000
2 Ni 0.0000 0.0000 0.5000
3 C 0.0000 0.5000 0.0000
4 C 0.5000 0.0000 0.0000
5 Se 0.5000 0.5000 0.5000

=====

Density functional theory data (PBE) for Fe2NiSnC after structural relaxation.

Calculated values
- E_tot: -7.13 eV per atom
- SG: P4/mmm (123)

abc: 3.8366 3.8366 3.8964
angles: 90.00 90.00 90.00
Atoms (fractional coordinates):
1 Fe 0.0000 0.5000 0.0000
2 Fe 0.5000 0.0000 0.0000
3 Ni 0.0000 0.0000 0.5000
4 Sn 0.5000 0.5000 0.5000
5 C 0.0000 0.0000 0.0000

=====

Density functional theory data (PBE) for FeNi2SnC after structural relaxation.

Calculated values
- E_tot: -6.63 eV per atom
- SG: P4/mmm (123)

abc: 3.8945 3.8945 3.8700
angles: 90.00 90.00 90.00
Atoms (fractional coordinates):
1 Fe 0.0000 0.0000 0.0000
2 Ni 0.0000 0.5000 0.5000
3 Ni 0.5000 0.0000 0.5000
4 Sn 0.5000 0.5000 0.0000
5 C 0.0000 0.0000 0.5000

=====

Density functional theory data (PBE) for Th2FeNiC after structural relaxation.

Calculated values
- E_tot: -7.86 eV per atom
- SG: P2_1/m (11)

abc: 6.2518 3.9786 8.2212
angles: 90.00 112.02 90.00
Atoms (fractional coordinates):
1 Th 0.1907 0.2500 0.3956
2 Th 0.2613 0.7500 0.0310
3 Th 0.7387 0.2500 0.9690
4 Th 0.8093 0.7500 0.6044
5 Fe 0.2447 0.2500 0.7311
6 Fe 0.7553 0.7500 0.2689
7 Ni 0.4049 0.7500 0.7048
8 Ni 0.5951 0.2500 0.2952
9 C 0.0086 0.2500 0.8165
10 C 0.9914 0.7500 0.1835

=====

Density functional theory data (PBE) for TiFe2NiC after structural relaxation.

Calculated values
- E_tot: -8.13 eV per atom
- SG: P4/mmm (123)

abc: 3.7774 3.7774 3.7351
angles: 90.00 90.00 90.00
Atoms (fractional coordinates):
1 Ti 0.0000 0.0000 0.0000
2 Fe 0.0000 0.5000 0.5000
3 Fe 0.5000 0.0000 0.5000
4 Ni 0.5000 0.5000 0.0000
5 C 0.5000 0.5000 0.5000

=====

Density functional theory data (PBE) for VFe2NiC after structural relaxation.

Calculated values
- E_tot: -5.93 eV per atom
- SG: P4/mmm (123)

abc: 4.1916 4.1916 4.3098
angles: 90.00 90.00 90.00
Atoms (fractional coordinates):
1 V 0.0000 0.0000 0.0000
2 Fe 0.0000 0.5000 0.0000
3 Fe 0.5000 0.0000 0.0000
4 Ni 0.0000 0.0000 0.5000
5 C 0.5000 0.5000 0.5000

=====

Density functional theory data (PBE) for Y2FeNiC after structural relaxation.

Calculated values
- E_tot: -7.52 eV per atom
- SG: P4/mmm (123)

abc: 4.9150 4.9150 3.6123
angles: 90.00 90.00 90.00
Atoms (fractional coordinates):
1 Y 0.0000 0.5000 0.0000
2 Y 0.5000 0.0000 0.0000
3 Fe 0.0000 0.0000 0.5000
4 Ni 0.5000 0.5000 0.5000
5 C 0.0000 0.0000 0.0000

=====

Density functional theory data (PBE) for YFeNi2C after structural relaxation.

Calculated values
- E_tot: -7.26 eV per atom
- SG: P4/mmm (123)

abc: 3.9894 3.9894 3.8942
angles: 90.00 90.00 90.00
Atoms (fractional coordinates):
1 Y 0.0000 0.0000 0.0000
2 Fe 0.5000 0.5000 0.0000
3 Ni 0.0000 0.5000 0.5000
4 Ni 0.5000 0.0000 0.5000
5 C 0.5000 0.5000 0.5000